This record from Alexandria via LeMat-Bulk describes a relaxed structure of Zr2CrSb. The functional is PBE.

## Properties
Magnetic moment (Bohr magnetons per cell): 0.00
Space-group type: P4mm
ΔE_f (raw) (kJ per mole of atoms): -1.36

Lattice parameters (Å, degrees): 3.535 3.535 6.335 90.00 90.00 90.00
Atoms (fractional coordinates):
Cr1 0.000 0.000 0.519
Sb1 0.500 0.500 0.728
Zr1 0.000 0.000 0.985
Zr2 0.500 0.500 0.267

---

This record from Alexandria via LeMat-Bulk describes a relaxed structure of ZrBeTe2O. The functional is PBE.

## Properties
Magnetic moment (Bohr magnetons per cell): 0.00
Space-group type: P4/mmm
ΔE_f (raw) (kJ per mole of atoms): 88.05

Lattice parameters (Å, degrees): 5.462 4.979 5.462 90.00 90.00 90.00
Atoms (fractional coordinates):
Be1 0.000 0.500 0.000
Te1 0.000 0.000 0.500
Te2 0.500 0.000 0.000
O1 0.500 0.500 0.500
Zr1 0.000 0.000 0.000

---

This record from Alexandria via LeMat-Bulk describes a relaxed structure of TlZn2Fe. The functional is PBE.

## Properties
Magnetic moment (Bohr magnetons per cell): 2.34
Space-group type: Fm-3m
Energy of formation (kJ/mol of formula units): 192
Energy relative to the lowest polymorph listed for this composition (eV per atom): 0.2513

Lattice parameters (Å, degrees): 4.574 4.574 4.574 60.00 60.00 60.00
Last column: magnetic moment on the atom in μB.
Atoms (fractional coordinates):
Tl1 0.500 0.500 0.500  0.01
Zn1 0.250 0.250 0.250  -0.04
Zn2 0.750 0.750 0.750  -0.04
Fe1 0.000 0.000 0.000  2.40

---

This record from Alexandria via LeMat-Bulk describes a relaxed structure of SrPmTlGe. The functional is PBE.

## Properties
Magnetic moment (Bohr magnetons per cell): 0.00
Space-group type: F-43m
Energy of formation (kJ/mol of formula units): -151

Lattice parameters (Å, degrees): 5.469 5.469 5.469 60.00 60.00 60.00
Atoms (fractional coordinates):
Sr1 0.750 0.750 0.750
Tl1 0.500 0.500 0.500
Ge1 0.000 0.000 0.000
Pm1 0.250 0.250 0.250

---

This record from Alexandria via LeMat-Bulk describes a relaxed structure of YRe2Pt. The functional is PBE.

## Properties
Magnetic moment (Bohr magnetons per cell): 0.05
Space-group type: Cmmm
Energy of formation (kJ/mol of formula units): 139
Energy relative to the lowest polymorph listed for this composition (eV per atom): 0.4917

Lattice parameters (Å, degrees): 5.251 5.251 2.757 90.00 90.00 114.83
Atoms (fractional coordinates):
Pt1 0.000 0.500 0.500
Re1 0.000 0.000 0.000
Re2 0.500 0.500 0.000
Y1 0.500 0.000 0.500

---

This record from Alexandria via LeMat-Bulk describes a relaxed structure of KPb3F6. The functional is PBE.

## Properties
Magnetic moment (Bohr magnetons per cell): 0.00
Space-group type: Cmmm
ΔE_f (raw) (kJ per mole of atoms): -218.61

Lattice parameters (Å, degrees): 3.996 7.578 7.578 108.75 90.00 90.00
Atoms (fractional coordinates):
K1 0.000 0.500 0.500
Pb1 0.500 0.500 0.000
Pb2 0.000 0.000 0.000
Pb3 0.500 0.000 0.500
F1 0.000 0.085 0.346
F2 0.000 0.915 0.654
F3 0.000 0.346 0.085
F4 0.000 0.654 0.915
F5 0.500 0.659 0.341
F6 0.500 0.341 0.659

---

This record from Alexandria via LeMat-Bulk describes a relaxed structure of SnPSeN2. The functional is PBE.

## Properties
Magnetic moment (Bohr magnetons per cell): 1.59
Space-group type: P4/mmm
ΔE_f (raw) (kJ per mole of atoms): 149.93
Energy relative to the lowest polymorph listed for this composition (eV per atom): 0.6174

Lattice parameters (Å, degrees): 4.069 4.069 5.718 90.00 90.00 90.00
Last column: magnetic moment on the atom in μB.
Atoms (fractional coordinates):
P1 0.500 0.500 0.500  -0.28
Sn1 0.000 0.000 0.000  -0.06
Se1 0.000 0.000 0.500  0.05
N1 0.000 0.500 0.000  0.77
N2 0.500 0.000 0.000  0.77

---

This record from Alexandria via LeMat-Bulk describes a relaxed structure of InSiTcRu2. The functional is PBE.

## Properties
Magnetic moment (Bohr magnetons per cell): 2.27
Space-group type: P4/mmm
ΔE_f (raw) (kJ per mole of atoms): 101.72

Lattice parameters (Å, degrees): 4.414 4.414 4.821 90.00 90.00 90.00
Last column: magnetic moment on the atom in μB.
Atoms (fractional coordinates):
Ru1 0.000 0.500 0.000  -0.14
Ru2 0.500 0.000 0.000  -0.14
Si1 0.000 0.000 0.000  0.01
Tc1 0.500 0.500 0.500  2.36
In1 0.000 0.000 0.500  -0.05

---

Question: The highest magnetic moment belongs to which entry?
Answer: TlZn2Fe